1.
Entry from Alexandria via LeMat-Bulk: a crystal of FeAu3 relaxed with PBEsol (SCAN).

a = 2.8159 Å, b = 2.8159 Å, c = 7.9095 Å
α = 90.00°, β = 90.00°, γ = 90.00°
Element x y z (fractional)
Fe: 0.0000 0.0000 0.0000
Au: 0.0000 0.0000 0.5000
Au: 0.5000 0.5000 0.2286
Au: 0.5000 0.5000 0.7714

Values from the calculation:
Fermi-level density of states (states/eV per cell): 2.04
Total magnetization (μB/f.u.): 3.213
Symmetry: No. 123
ΔE_f (meV per atom): -33

=====

2.
Entry from Alexandria via LeMat-Bulk: a crystal of ScTl2Cd relaxed with PBEsol (SCAN).

a = 3.4802 Å, b = 3.4802 Å, c = 7.8989 Å
α = 90.00°, β = 90.00°, γ = 90.00°
Element x y z (fractional)
Sc: 0.0000 0.0000 0.0000
Tl: 0.0000 0.0000 0.5234
Tl: 0.5000 0.5000 0.2379
Cd: 0.5000 0.5000 0.7784

Values from the calculation:
Polymorph energy (0 for the lowest one) (eV/atom): 0.119
Fermi-level density of states (states/eV per cell): 2.27
Total magnetization (μB/f.u.): 0.406
Symmetry: No. 99
ΔE_f (meV per atom): -126

=====

3.
Entry from Alexandria via LeMat-Bulk: a crystal of V5NiP6O24 relaxed with PBEsol (SCAN).

a = 8.2605 Å, b = 8.2605 Å, c = 8.2605 Å
α = 62.15°, β = 62.15°, γ = 62.15°
Element x y z (fractional)
V: 0.0000 0.0000 0.0000
V: 0.1395 0.1395 0.1395
V: 0.4986 0.4986 0.4986
V: 0.6398 0.6398 0.6398
V: 0.7803 0.7803 0.7803
Ni: 0.2784 0.2784 0.2784
P: 0.0962 0.6786 0.3869
P: 0.1815 0.5969 0.8888
P: 0.3869 0.0962 0.6786
P: 0.5969 0.8888 0.1815
P: 0.6786 0.3869 0.0962
P: 0.8888 0.1815 0.5969
O: 0.0265 0.6506 0.8047
O: 0.0403 0.1886 0.3949
O: 0.0824 0.8871 0.2327
O: 0.1242 0.5289 0.3154
O: 0.1407 0.7579 0.9578
O: 0.1886 0.3949 0.0403
O: 0.2327 0.0824 0.8871
O: 0.2558 0.6363 0.4597
O: 0.3154 0.1242 0.5289
O: 0.3874 0.5800 0.7325
O: 0.3949 0.0403 0.1886
O: 0.4597 0.2558 0.6363
O: 0.5289 0.3154 0.1242
O: 0.5453 0.8900 0.7052
O: 0.5800 0.7325 0.3874
O: 0.6363 0.4597 0.2558
O: 0.6506 0.8047 0.0265
O: 0.7052 0.5453 0.8900
O: 0.7325 0.3874 0.5800
O: 0.7579 0.9578 0.1407
O: 0.8047 0.0265 0.6506
O: 0.8871 0.2327 0.0824
O: 0.8900 0.7052 0.5453
O: 0.9578 0.1407 0.7579

Values from the calculation:
Fermi-level density of states (states/eV per cell): 11.18
Total magnetization (μB/f.u.): 11.000
Symmetry: No. 146
Raw formation energy (kJ/mol of atoms): -237.17

=====

4.
Entry from Alexandria via LeMat-Bulk: a crystal of CdInP2 relaxed with PBEsol (SCAN).

a = 9.2733 Å, b = 9.2733 Å, c = 9.2733 Å
α = 20.05°, β = 20.05°, γ = 20.05°
Element x y z (fractional)
Cd: 0.0000 0.0000 0.0000
In: 0.7642 0.7642 0.7642
P: 0.2436 0.2436 0.2436
P: 0.5304 0.5304 0.5304

Values from the calculation:
Fermi-level density of states (states/eV per cell): 0.99
Total magnetization (μB/f.u.): 0.000
Symmetry: No. 160
ΔE_f (meV per atom): 111

=====

5.
Entry from Alexandria via LeMat-Bulk: a crystal of PmY relaxed with PBEsol (SCAN).

a = 3.5847 Å, b = 3.5847 Å, c = 5.6750 Å
α = 90.00°, β = 90.00°, γ = 120.00°
Element x y z (fractional)
Pm: 0.0000 0.0000 0.0000
Y: 0.3333 0.6667 0.5000

Values from the calculation:
Fermi-level density of states (states/eV per cell): 3.02
Total magnetization (μB/f.u.): 0.036
Symmetry: No. 187
ΔE_f (meV per atom): 25

=====

6.
Entry from Alexandria via LeMat-Bulk: a crystal of KCo2Te relaxed with PBEsol (SCAN).

a = 5.8755 Å, b = 5.8755 Å, c = 5.8755 Å
α = 147.80°, β = 121.67°, γ = 68.21°
Element x y z (fractional)
K: 0.0000 0.0000 0.0000
Co: 0.5037 0.5037 0.0000
Co: 0.6560 0.1560 0.5000
Te: 0.3093 0.8093 0.5000

Values from the calculation:
Fermi-level density of states (states/eV per cell): 0.97
Total magnetization (μB/f.u.): 3.019
Symmetry: No. 44
Raw formation energy (kJ/mol of atoms): 43.15

=====

7.
Entry from Alexandria via LeMat-Bulk: a crystal of CuSbTe2Cl relaxed with PBEsol (SCAN).

a = 5.2200 Å, b = 5.2200 Å, c = 5.2589 Å
α = 90.00°, β = 90.00°, γ = 90.00°
Element x y z (fractional)
Cu: 0.0000 0.0000 0.0000
Sb: 0.5000 0.5000 0.0000
Te: 0.0000 0.5000 0.5000
Te: 0.5000 0.0000 0.5000
Cl: 0.5000 0.5000 0.5000

Values from the calculation:
Fermi-level density of states (states/eV per cell): 6.05
Total magnetization (μB/f.u.): 0.002
Symmetry: No. 123
Raw formation energy (kJ/mol of atoms): 114.02

=====

8.
Entry from Alexandria via LeMat-Bulk: a crystal of La2AgBr relaxed with PBEsol (SCAN).

a = 6.8361 Å, b = 6.8361 Å, c = 6.8361 Å
α = 143.61°, β = 143.61°, γ = 52.42°
Element x y z (fractional)
La: 0.0000 0.0000 0.0000
La: 0.7500 0.2500 0.5000
Ag: 0.5000 0.5000 0.0000
Br: 0.2500 0.7500 0.5000

Values from the calculation:
Polymorph energy (0 for the lowest one) (eV/atom): 0.308
Fermi-level density of states (states/eV per cell): 3.98
Total magnetization (μB/f.u.): 0.620
Symmetry: No. 119
Raw formation energy (kJ/mol of atoms): -57.67

=====

9.
Entry from Alexandria via LeMat-Bulk: a crystal of ScHg8 relaxed with PBEsol (SCAN).

a = 7.1211 Å, b = 7.1211 Å, c = 7.1211 Å
α = 95.14°, β = 95.14°, γ = 145.17°
Element x y z (fractional)
Sc: 0.0000 0.0000 0.0000
Hg: 0.0000 0.3315 0.3315
Hg: 0.0000 0.6685 0.6685
Hg: 0.3315 0.0000 0.3315
Hg: 0.3359 0.3359 0.6719
Hg: 0.3359 0.6641 0.0000
Hg: 0.6641 0.3359 0.0000
Hg: 0.6641 0.6641 0.3281
Hg: 0.6685 0.0000 0.6685

Values from the calculation:
Fermi-level density of states (states/eV per cell): 3.65
Total magnetization (μB/f.u.): 0.000
Symmetry: No. 139
ΔE_f (meV per atom): -108

=====

10.
Entry from Alexandria via LeMat-Bulk: a crystal of RbMgScIr2 relaxed with PBEsol (SCAN).

a = 4.7622 Å, b = 4.7622 Å, c = 4.9837 Å
α = 90.00°, β = 90.00°, γ = 90.00°
Element x y z (fractional)
Rb: 0.0000 0.0000 0.0000
Mg: 0.5000 0.5000 0.5000
Sc: 0.5000 0.5000 0.0000
Ir: 0.0000 0.5000 0.5000
Ir: 0.5000 0.0000 0.5000

Values from the calculation:
Fermi-level density of states (states/eV per cell): 2.29
Total magnetization (μB/f.u.): 0.000
Symmetry: No. 123
ΔE_f (meV per atom): 1104

=====

11.
Entry from Alexandria via LeMat-Bulk: a crystal of CuTe relaxed with PBEsol (SCAN).

a = 6.2134 Å, b = 6.2134 Å, c = 6.8299 Å
α = 123.33°, β = 123.33°, γ = 38.01°
Element x y z (fractional)
Cu: 0.0000 0.0000 0.0000
Cu: 0.2775 0.2775 0.2786
Cu: 0.6384 0.6384 0.2491
Te: 0.1386 0.1386 0.4775
Te: 0.4761 0.4761 0.7526
Te: 0.8031 0.8031 0.0808

Values from the calculation:
Fermi-level density of states (states/eV per cell): 2.38
Total magnetization (μB/f.u.): 0.000
Symmetry: No. 8
Raw formation energy (kJ/mol of atoms): -5.18

=====

12.
Entry from Alexandria via LeMat-Bulk: a crystal of BaYIn relaxed with PBEsol (SCAN).

a = 5.4847 Å, b = 5.4847 Å, c = 5.4847 Å
α = 60.00°, β = 60.00°, γ = 60.00°
Element x y z (fractional)
Ba: 0.0000 0.0000 0.0000
Y: 0.5000 0.5000 0.5000
In: 0.7500 0.7500 0.7500

Values from the calculation:
Fermi-level density of states (states/eV per cell): 2.62
Total magnetization (μB/f.u.): 0.145
Symmetry: No. 216
ΔE_f (meV per atom): -123

=====

13.
Entry from Alexandria via LeMat-Bulk: a crystal of ZrSi2Ag relaxed with PBEsol (SCAN).

a = 2.9906 Å, b = 4.0744 Å, c = 5.4785 Å
α = 90.00°, β = 90.00°, γ = 90.00°
Element x y z (fractional)
Zr: 0.0000 0.0000 0.0000
Si: 0.5000 0.5000 0.2269
Si: 0.5000 0.5000 0.7731
Ag: 0.5000 0.0000 0.5000

Values from the calculation:
Fermi-level density of states (states/eV per cell): 1.73
Total magnetization (μB/f.u.): 0.000
Symmetry: No. 47
Raw formation energy (kJ/mol of atoms): -23.58

=====

14.
Entry from Alexandria via LeMat-Bulk: a crystal of BaTe2Au relaxed with PBEsol (SCAN).

a = 6.9407 Å, b = 6.9407 Å, c = 6.9407 Å
α = 106.73°, β = 106.73°, γ = 115.10°
Element x y z (fractional)
Ba: 0.0000 0.0000 0.0000
Ba: 0.7500 0.2500 0.5000
Te: 0.2028 0.6250 0.0778
Te: 0.3750 0.4528 0.5778
Te: 0.5472 0.1250 0.9222
Te: 0.8750 0.7972 0.4222
Au: 0.2500 0.7500 0.5000
Au: 0.5000 0.5000 0.0000

Values from the calculation:
Polymorph energy (0 for the lowest one) (eV/atom): 0.000
Fermi-level density of states (states/eV per cell): 1.92
Total magnetization (μB/f.u.): 0.000
Symmetry: No. 122
Raw formation energy (kJ/mol of atoms): -97.80

=====

15.
Entry from Alexandria via LeMat-Bulk: a crystal of Ge3BIr relaxed with PBEsol (SCAN).

a = 4.2050 Å, b = 4.2050 Å, c = 4.2050 Å
α = 90.00°, β = 90.00°, γ = 90.00°
Element x y z (fractional)
Ge: 0.0000 0.0000 0.5000
Ge: 0.0000 0.5000 0.0000
Ge: 0.5000 0.0000 0.0000
B: 0.0000 0.0000 0.0000
Ir: 0.5000 0.5000 0.5000

Values from the calculation:
Fermi-level density of states (states/eV per cell): 3.00
Total magnetization (μB/f.u.): 0.000
Symmetry: No. 221
ΔE_f (meV per atom): 946

=====

16.
Entry from Alexandria via LeMat-Bulk: a crystal of HfTi2Zn2 relaxed with PBEsol (SCAN).

a = 6.3987 Å, b = 6.3987 Å, c = 6.3987 Å
α = 144.81°, β = 144.81°, γ = 50.62°
Element x y z (fractional)
Hf: 0.0000 0.0000 0.0000
Ti: 0.3966 0.3966 0.0000
Ti: 0.6034 0.6034 0.0000
Zn: 0.2500 0.7500 0.5000
Zn: 0.7500 0.2500 0.5000

Values from the calculation:
Polymorph energy (0 for the lowest one) (eV/atom): 0.332
Fermi-level density of states (states/eV per cell): 3.46
Total magnetization (μB/f.u.): 1.634
Symmetry: No. 139
ΔE_f (meV per atom): 180

=====

17.
Entry from Alexandria via LeMat-Bulk: a crystal of Cd3GeSb relaxed with PBEsol (SCAN).

a = 5.4189 Å, b = 5.4189 Å, c = 5.4189 Å
α = 90.00°, β = 90.00°, γ = 90.00°
Element x y z (fractional)
Cd: 0.0000 0.0000 0.5000
Cd: 0.0000 0.5000 0.0000
Cd: 0.5000 0.0000 0.0000
Ge: 0.5000 0.5000 0.5000
Sb: 0.0000 0.0000 0.0000

Values from the calculation:
Fermi-level density of states (states/eV per cell): 4.17
Total magnetization (μB/f.u.): 0.008
Symmetry: No. 221
Raw formation energy (kJ/mol of atoms): 74.89

=====

18.
Entry from Alexandria via LeMat-Bulk: a crystal of ZrTeRh2 relaxed with PBEsol (SCAN).

a = 5.1336 Å, b = 5.1336 Å, c = 5.1336 Å
α = 134.48°, β = 134.48°, γ = 66.34°
Element x y z (fractional)
Zr: 0.0000 0.0000 0.0000
Te: 0.2500 0.7500 0.5000
Rh: 0.5000 0.5000 0.0000
Rh: 0.7500 0.2500 0.5000

Values from the calculation:
Polymorph energy (0 for the lowest one) (eV/atom): 0.029
Fermi-level density of states (states/eV per cell): 2.10
Total magnetization (μB/f.u.): 0.000
Symmetry: No. 119
Raw formation energy (kJ/mol of atoms): -55.33

=====

19.
Entry from Alexandria via LeMat-Bulk: a crystal of MnCoNi2 relaxed with PBEsol (SCAN).

a = 4.2629 Å, b = 4.2629 Å, c = 4.2629 Å
α = 132.07°, β = 132.07°, γ = 70.11°
Element x y z (fractional)
Mn: 0.0000 0.0000 0.0000
Co: 0.7500 0.2500 0.5000
Ni: 0.2500 0.7500 0.5000
Ni: 0.5000 0.5000 0.0000

Values from the calculation:
Fermi-level density of states (states/eV per cell): 3.32
Total magnetization (μB/f.u.): 1.603
Symmetry: No. 119
ΔE_f (meV per atom): -30

=====

20.
Entry from Alexandria via LeMat-Bulk: a crystal of FeNiW2 relaxed with PBEsol (SCAN).

a = 3.0990 Å, b = 3.0990 Å, c = 5.4479 Å
α = 90.00°, β = 90.00°, γ = 90.00°
Element x y z (fractional)
Fe: 0.0000 0.0000 0.0000
Ni: 0.5000 0.5000 0.2361
W: 0.0000 0.0000 0.4611
W: 0.5000 0.5000 0.7648

Values from the calculation:
Polymorph energy (0 for the lowest one) (eV/atom): 0.030
Fermi-level density of states (states/eV per cell): 3.54
Total magnetization (μB/f.u.): 1.381
Symmetry: No. 99
ΔE_f (meV per atom): 189

=====

21.
Entry from Alexandria via LeMat-Bulk: a crystal of BaTaAsBr2 relaxed with PBEsol (SCAN).

a = 5.8741 Å, b = 5.8741 Å, c = 6.2218 Å
α = 90.00°, β = 90.00°, γ = 90.00°
Element x y z (fractional)
Ba: 0.0000 0.0000 0.0000
Ta: 0.5000 0.5000 0.5000
As: 0.0000 0.0000 0.5000
Br: 0.0000 0.5000 0.0000
Br: 0.5000 0.0000 0.0000

Values from the calculation:
Fermi-level density of states (states/eV per cell): 4.64
Total magnetization (μB/f.u.): 1.993
Symmetry: No. 123
Raw formation energy (kJ/mol of atoms): 73.54

=====

22.
Entry from Alexandria via LeMat-Bulk: a crystal of Y2CuSe relaxed with PBEsol (SCAN).

a = 5.0398 Å, b = 5.0398 Å, c = 5.0398 Å
α = 124.54°, β = 124.54°, γ = 82.29°
Element x y z (fractional)
Y: 0.2500 0.7500 0.5000
Y: 0.7500 0.2500 0.5000
Cu: 0.0000 0.0000 0.0000
Se: 0.5000 0.5000 0.0000

Values from the calculation:
Polymorph energy (0 for the lowest one) (eV/atom): 0.394
Fermi-level density of states (states/eV per cell): 3.14
Total magnetization (μB/f.u.): 0.001
Symmetry: No. 139
Raw formation energy (kJ/mol of atoms): -67.40

=====

23.
Entry from Alexandria via LeMat-Bulk: a crystal of GeSbTe2Pt relaxed with PBEsol (SCAN).

a = 5.3574 Å, b = 5.3574 Å, c = 4.9920 Å
α = 90.00°, β = 90.00°, γ = 90.00°
Element x y z (fractional)
Ge: 0.0000 0.0000 0.0000
Sb: 0.5000 0.5000 0.0000
Te: 0.0000 0.5000 0.5000
Te: 0.5000 0.0000 0.5000
Pt: 0.5000 0.5000 0.5000

Values from the calculation:
Fermi-level density of states (states/eV per cell): 3.66
Total magnetization (μB/f.u.): 0.000
Symmetry: No. 123
Raw formation energy (kJ/mol of atoms): 45.54

=====

24.
Entry from Alexandria via LeMat-Bulk: a crystal of ScFeAsBr2 relaxed with PBEsol (SCAN).

a = 4.6825 Å, b = 4.6825 Å, c = 4.8406 Å
α = 90.00°, β = 90.00°, γ = 90.00°
Element x y z (fractional)
Sc: 0.0000 0.0000 0.0000
Fe: 0.5000 0.5000 0.5000
As: 0.5000 0.5000 0.0000
Br: 0.0000 0.5000 0.5000
Br: 0.5000 0.0000 0.5000

Values from the calculation:
Polymorph energy (0 for the lowest one) (eV/atom): 0.110
Fermi-level density of states (states/eV per cell): 3.13
Total magnetization (μB/f.u.): 2.549
Symmetry: No. 123
Raw formation energy (kJ/mol of atoms): -4.76